No. 1
Below is a PBEsol-optimized structure of Be2NiCl, with properties calculated at the SCAN level.

Lattice parameters (Å, degrees): 3.382 3.382 7.641 90.00 90.00 90.00
Space group I4/mmm (No. 139)
One atom of each set of equivalent atoms:
Be: 0.000 0.500 0.250 (multiplicity 4)
Ni: 0.000 0.000 0.000 (multiplicity 2)
Cl: 0.000 0.000 0.500 (multiplicity 2)

DOS(E_F), states/eV/cell: 3.3
Formation energy (no corrections), eV per atom: 0.584
Crystal system: tetragonal

=====

No. 2
Below is a PBEsol-optimized structure of ReSbPdI2, with properties calculated at the SCAN level.

Lattice parameters (Å, degrees): 5.386 5.386 5.016 90.00 90.00 90.00
Space group P4/mmm (No. 123)
One atom of each set of equivalent atoms:
Re: 0.000 0.000 0.000 (multiplicity 1)
Sb: 0.000 0.000 0.500 (multiplicity 1)
Pd: 0.500 0.500 0.500 (multiplicity 1)
I: 0.000 0.500 0.000 (multiplicity 2)

DOS(E_F), states/eV/cell: 4.6
Formation energy (no corrections), eV per atom: 1.135
Crystal system: tetragonal

=====

No. 3
Below is a PBEsol-optimized structure of NaMgCo2Pb, with properties calculated at the SCAN level.

Lattice parameters (Å, degrees): 4.828 4.828 5.276 90.00 90.00 90.00
Space group P4/mmm (No. 123)
One atom of each set of equivalent atoms:
Na: 0.000 0.000 0.000 (multiplicity 1)
Mg: 0.500 0.500 0.000 (multiplicity 1)
Co: 0.000 0.500 0.500 (multiplicity 2)
Pb: 0.000 0.000 0.500 (multiplicity 1)

ΔE_f, meV/atom: 967.2
DOS(E_F), states/eV/cell: 3.6
Crystal system: tetragonal

=====

No. 4
Below is a PBEsol-optimized structure of HgSb2Se, with properties calculated at the SCAN level.

Lattice parameters (Å, degrees): 7.253 7.253 7.253 90.00 90.00 90.00
Space group F-43m (No. 216)
One atom of each set of equivalent atoms:
Hg: 0.000 0.000 0.000 (multiplicity 4)
Sb: 0.000 0.000 0.500 (multiplicity 4)
Sb: 0.250 0.250 0.750 (multiplicity 4)
Se: 0.250 0.250 0.250 (multiplicity 4)

DOS(E_F), states/eV/cell: 10.3
Formation energy (no corrections), eV per atom: 0.248
Crystal system: cubic
Offset from the most stable computed form, meV per atom: 272

=====

| no. | total energy (Ry per atom) |
| --- | --- |
| 1 | -0.56083 |
| 2 | -3.07134 |
| 3 | -1.68668 |
| 4 | -2.97255 |